Record 1
Here is crystalline Cr2Pt2F at its relaxed geometry from the Alexandria database. Energies are from PBE+U.

Output
Total magnetization, μB/f.u.: 8.90
Total DFT energy (no corrections), eV per atom: -5.919

Lattice parameters (Å, degrees): 3.6505 3.6505 14.0427 90.00 90.00 90.00
Space group I4/mmm (No. 139)
One atom of each set of equivalent atoms:
1 Cr 0.0000 0.0000 0.1015 (multiplicity 4)
2 Pt 0.0000 0.5000 0.2500 (multiplicity 4)
3 F 0.0000 0.0000 0.5000 (multiplicity 2)



Record 2
Here is crystalline Cr2Pt2F at its relaxed geometry from the Alexandria database. Energies are from PBE+U.

Output
Total magnetization, μB/f.u.: 8.41
Total DFT energy (no corrections), eV per atom: -6.088

Lattice parameters (Å, degrees): 5.7577 5.7577 4.6861 90.00 90.00 90.00
Space group P4/mbm (No. 127)
One atom of each set of equivalent atoms:
1 Cr 0.1772 0.3228 0.0000 (multiplicity 4)
2 Pt 0.1633 0.6633 0.5000 (multiplicity 4)
3 F 0.0000 0.0000 0.0000 (multiplicity 2)



Record 3
Here is crystalline Cr3PtF at its relaxed geometry from the Alexandria database. Energies are from PBE+U.

Output
Total magnetization, μB/f.u.: 13.59
Total DFT energy (no corrections), eV per atom: -6.183

Lattice parameters (Å, degrees): 4.3603 4.3603 4.3603 90.00 90.00 90.00
Space group Pm-3m (No. 221)
One atom of each set of equivalent atoms:
1 Cr 0.0000 0.0000 0.5000 (multiplicity 3)
2 Pt 0.5000 0.5000 0.5000 (multiplicity 1)
3 F 0.0000 0.0000 0.0000 (multiplicity 1)



Record 4
Here is crystalline CrPt2F at its relaxed geometry from the Alexandria database. Energies are from PBE+U.

Output
Total magnetization, μB/f.u.: 3.04
Total DFT energy (no corrections), eV per atom: -5.353

Lattice parameters (Å, degrees): 6.1302 6.1302 6.1302 90.00 90.00 90.00
Space group Fm-3m (No. 225)
One atom of each set of equivalent atoms:
1 Cr 0.0000 0.0000 0.0000 (multiplicity 4)
2 Pt 0.2500 0.2500 0.2500 (multiplicity 8)
3 F 0.0000 0.0000 0.5000 (multiplicity 4)



Record 5
Here is crystalline Cr2RePtF at its relaxed geometry from the Alexandria database. Energies are from PBE+U.

Output
Total magnetization, μB/f.u.: 6.67
Total DFT energy (no corrections), eV per atom: -6.088

Lattice parameters (Å, degrees): 4.9956 4.9956 4.6864 90.00 90.00 90.00
Space group P4/mmm (No. 123)
One atom of each set of equivalent atoms:
1 Cr 0.0000 0.5000 0.0000 (multiplicity 2)
2 Re 0.0000 0.0000 0.0000 (multiplicity 1)
3 Pt 0.0000 0.0000 0.5000 (multiplicity 1)
4 F 0.5000 0.5000 0.5000 (multiplicity 1)



Record 6
Here is crystalline TlCrPtF2 at its relaxed geometry from the Alexandria database. Energies are from PBE+U.

Output
Total magnetization, μB/f.u.: 4.49
Total DFT energy (no corrections), eV per atom: -4.431

Lattice parameters (Å, degrees): 4.4001 4.4001 5.4451 90.00 90.00 90.00
Space group P4/mmm (No. 123)
One atom of each set of equivalent atoms:
1 Tl 0.0000 0.0000 0.0000 (multiplicity 1)
2 Cr 0.5000 0.5000 0.5000 (multiplicity 1)
3 Pt 0.0000 0.0000 0.5000 (multiplicity 1)
4 F 0.0000 0.5000 0.0000 (multiplicity 2)



Question: total magnetization of number 6 (TlCrPtF2)?
Answer: 4.49 μB/f.u.